A geometry-optimized LiTlRhPb structure. Source: the Alexandria database, functional PBE.

Lattice parameters (Å, degrees): 4.791 4.791 4.791 60.00 60.00 60.00
Sites, in units of the cell vectors:
1 Li 0.000 0.000 0.000
2 Tl 0.250 0.250 0.250
3 Rh 0.500 0.500 0.500
4 Pb 0.750 0.750 0.750

Results
Energy relative to the elements ... -0.13 eV per atom
V ... 19.4 Å³/atom
Size of the total moment ... 0.00 Bohr magnetons per cell